An optimized crystal structure of DyEr2Al. Source: the Open Quantum Materials Database, functional GGA-PBE.

Unit cell a=4.9970 b=10.3823 c=8.3709 alpha=90.00 beta=90.00 gamma=90.00
With the nearest neighbours (Å) after each atom.
Space group Ama2 (No. 40)
One atom of each set of equivalent atoms:
1 Dy 0.2500 0.1117 0.0000 x4  4 Al 3.10-3.43, 3 Er 3.29-3.44, 2 Dy 3.41
2 Er 0.2500 0.1108 0.5907 x4  4 Al 3.10-3.42, 4 Er 3.30-3.42, 1 Dy 3.43
3 Er 0.2500 0.3820 0.7961 x4  4 Dy 3.29-3.52, 2 Al 3.30, 6 Er 3.30-3.51
4 Al 0.2500 0.3255 0.2945 x4  6 Er 3.10-3.42, 4 Dy 3.10-3.43

Total magnetic moment: 0.01 μB/atom
DFT total energy: -4.54 eV/atom

***

An optimized crystal structure of Dy2Er3Al3. Source: the Open Quantum Materials Database, functional GGA-PBE.

Unit cell a=6.8300 b=6.8300 c=5.1106 alpha=90.00 beta=90.00 gamma=120.00
With the nearest neighbours (Å) after each atom.
Space group P-6m2 (No. 187)
One atom of each set of equivalent atoms:
1 Dy 0.0000 0.0000 0.0000 x1  6 Er 3.28, 6 Al 3.43
2 Dy 0.3333 0.6667 0.5000 x1  6 Al 3.40, 6 Er 3.42
3 Er 0.3481 0.1740 0.5000 x3  4 Al 3.12, 2 Er 3.26, 4 Dy 3.28-3.42
4 Al 0.5233 0.0466 0.0000 x3  2 Al 2.94, 4 Er 3.12

Total magnetic moment: 0.01 μB/atom
DFT total energy: -4.40 eV/atom

***

An optimized crystal structure of Dy2Er3Al3. Source: the Open Quantum Materials Database, functional GGA-PBE.

Unit cell a=6.4703 b=4.9445 c=6.4766 alpha=90.00 beta=103.11 gamma=90.00
With the nearest neighbours (Å) after each atom.
Space group Pm (No. 6)
One atom of each set of equivalent atoms:
1 Dy 0.0000 0.0000 0.0000 x1  6 Al 3.01-3.36
2 Dy 0.2970 0.5000 0.7878 x1  6 Al 3.19-3.25, 4 Er 3.23-3.54
3 Er 0.2896 0.5000 0.2868 x1  4 Er 3.23-3.38, 4 Dy 3.23-3.39, 4 Al 3.30
4 Er 0.5784 0.0000 0.5717 x1  5 Al 3.00-3.34
5 Er 0.7877 0.5000 0.2822 x1  6 Al 3.19-3.26, 4 Er 3.23-3.55, 2 Dy 3.53
6 Al 0.0739 0.0000 0.5028 x1  4 Dy 3.18-3.36, 6 Er 3.19-3.34
7 Al 0.5054 0.0000 0.0719 x1  6 Er 3.16-3.38, 4 Dy 3.19-3.34
8 Al 0.7938 0.5000 0.7803 x1  4 Er 3.00-3.26, 4 Dy 3.01-3.25

Total magnetic moment: 0.00 μB/atom
DFT total energy: -4.51 eV/atom

***

An optimized crystal structure of Dy2Er3Al3. Source: the Open Quantum Materials Database, functional GGA-PBE.

Unit cell a=5.3459 b=7.3658 c=10.4335 alpha=90.00 beta=90.00 gamma=90.00
With the nearest neighbours (Å) after each atom.
Space group Amm2 (No. 38)
One atom of each set of equivalent atoms:
1 Dy 0.0000 0.0000 0.0000 x2  6 Al 3.06-3.33
2 Dy 0.5000 0.0000 0.3870 x2  4 Al 3.15, 6 Er 3.19-3.41
3 Er 0.0000 0.0000 0.5906 x2  4 Al 3.15-3.39, 4 Er 3.33, 2 Dy 3.41
4 Er 0.5000 0.2362 0.1312 x4  4 Al 3.05-3.35, 2 Dy 3.19-3.20, 2 Er 3.33
5 Al 0.0000 0.1819 0.2921 x4  1 Al 2.68
6 Al 0.5000 0.0000 0.8564 x2  4 Er 3.05-3.35, 2 Dy 3.06

Total magnetic moment: 0.00 μB/atom
DFT total energy: -4.38 eV/atom

***

An optimized crystal structure of Dy2Er2Al. Source: the Open Quantum Materials Database, functional GGA-PBE.

Unit cell a=3.6046 b=7.9153 c=10.3057 alpha=90.00 beta=90.00 gamma=90.00
With the nearest neighbours (Å) after each atom.
Space group Immm (No. 71)
One atom of each set of equivalent atoms:
1 Dy 0.0000 0.0000 0.2477 x4  2 Al 3.13, 2 Er 3.49
2 Er 0.0000 0.3009 0.0000 x4  2 Al 2.99, 1 Er 3.15
3 Al 0.0000 0.5000 0.5000 x2  4 Er 2.99, 4 Dy 3.13

Total magnetic moment: 0.04 μB/atom
DFT total energy: -4.45 eV/atom

***

An optimized crystal structure of DyErAl. Source: the Open Quantum Materials Database, functional GGA-PBE.

Unit cell a=7.1400 b=7.1400 c=7.1400 alpha=90.00 beta=90.00 gamma=90.00
With the nearest neighbours (Å) after each atom.
Space group F-43m (No. 216)
One atom of each set of equivalent atoms:
1 Dy 0.0000 0.0000 0.0000 x4  4 Er 3.09
2 Er 0.2500 0.2500 0.7500 x4  4 Dy 3.09, 4 Al 3.09
3 Al 0.0000 0.0000 0.5000 x4  4 Er 3.09

Total magnetic moment: 0.00 μB/atom
DFT total energy: -3.79 eV/atom

***

Question: The highest DFT total energy belongs to which entry?
Answer: DyErAl